Here is NaUS3 after structural relaxation from Alexandria via LeMat-Bulk. Energies are from PBE.

Cell lengths 7.283, 4.024, 9.699 Å; angles 90.00, 102.16, 90.00 degrees
Space group P2_1/m (No. 11)
Inequivalent atoms, fractional coordinates:
Na: 0.206 0.250 0.436
U: 0.364 0.250 0.823
S: 0.040 0.250 0.690
S: 0.302 0.750 0.993
S: 0.452 0.750 0.672

Properties
The magnetic moment comes out at 1.00 μB/f.u. The calculation puts the uncorrected formation energy at -1.209 eV per atom. As for the energy above the lowest structure with this stoichiometry: 0 meV per atom.